(1)
{"formula": "AcAs3Pd", "functional": "PBE", "state": "relaxed", "lattice": [[4.968, 0.000, 0.000], [0.000, 4.968, 0.000], [0.000, 0.000, 4.968]], "species": ["As", "Pd", "As", "Ac", "As"], "frac_coords": [[0.000, 0.000, 0.500], [0.000, 0.000, 0.000], [0.000, 0.500, 0.000], [0.500, 0.500, 0.500], [0.500, 0.000, 0.000]], "sg": "Pm-3m (221)", "ef_ev_per_fu": -1.95, "crystal_system": "cubic"}

(2)
{"formula": "AcAs2Pd2", "functional": "PBE", "state": "relaxed", "lattice": [[0.226, -0.453, -4.458], [-1.863, -4.069, 0.319], [-3.887, 4.380, 1.616]], "species": ["Ac", "Pd", "Pd", "As", "As"], "frac_coords": [[0.500, 0.000, 0.500], [0.750, 0.750, 0.000], [0.250, 0.250, 0.000], [0.875, 0.375, 0.250], [0.125, 0.625, 0.750]], "sg": "I4/mmm (139)", "polymorph_energy_mev_per_atom": 42, "ef_ev_per_fu": -4.46, "crystal_system": "tetragonal"}

(3)
{"formula": "AcAs2Pd2", "functional": "PBE", "state": "relaxed", "lattice": [[-2.495, -3.808, 0.207], [2.954, -1.773, 2.984], [-5.319, 3.897, 7.581]], "species": ["As", "Pd", "Pd", "Ac", "As", "Pd", "Ac", "As", "As", "Pd"], "frac_coords": [[0.500, 0.500, 0.500], [0.500, 0.000, 0.617], [0.000, 0.000, 0.000], [0.000, 0.500, 0.751], [0.000, 0.000, 0.500], [0.500, 0.500, 0.000], [0.500, 0.000, 0.249], [0.000, 0.500, 0.130], [0.500, 0.000, 0.870], [0.000, 0.500, 0.383]], "sg": "P4/nmm (129)", "polymorph_energy_mev_per_atom": 0, "ef_ev_per_fu": -4.66, "crystal_system": "tetragonal"}

(4)
{"formula": "AcAs3Pd2", "functional": "PBE", "state": "relaxed", "lattice": [[4.502, 0.000, -0.731], [-0.119, 4.501, -0.731], [-0.235, -0.241, 12.779]], "species": ["Pd", "As", "As", "Ac", "Pd", "As", "Pd", "Ac", "As", "As", "As", "Pd"], "frac_coords": [[0.250, 0.750, 0.500], [0.450, 0.950, 0.900], [0.950, 0.450, 0.900], [0.849, 0.849, 0.698], [0.593, 0.593, 0.187], [0.697, 0.697, 0.393], [0.750, 0.250, 0.500], [0.151, 0.151, 0.302], [0.050, 0.550, 0.100], [0.303, 0.303, 0.607], [0.550, 0.050, 0.100], [0.407, 0.407, 0.813]], "sg": "I4/mmm (139)", "ef_ev_per_fu": -4.04, "crystal_system": "tetragonal"}

(5)
{"formula": "AcAs2Pd8", "functional": "PBE", "state": "relaxed", "lattice": [[-4.413, 2.319, 2.552], [-3.283, -1.557, -4.262], [-1.454, -6.690, 3.565]], "species": ["Pd", "Pd", "Pd", "As", "Pd", "Pd", "Pd", "As", "Pd", "Ac", "Pd"], "frac_coords": [[0.247, 0.753, 0.199], [0.247, 0.753, 0.801], [0.753, 0.247, 0.801], [0.000, 0.500, 0.000], [0.753, 0.753, 0.199], [0.753, 0.247, 0.199], [0.753, 0.753, 0.801], [0.500, 0.000, 0.000], [0.247, 0.247, 0.199], [0.500, 0.500, 0.500], [0.247, 0.247, 0.801]], "sg": "P4/mmm (123)", "ef_ev_per_fu": -2.54, "crystal_system": "tetragonal"}

(6)
{"formula": "AcAs2Pd", "functional": "PBE", "state": "relaxed", "lattice": [[-1.944, -2.753, -2.893], [-0.358, -4.324, 0.947], [-5.560, -1.447, 1.705]], "species": ["As", "Pd", "As", "Ac"], "frac_coords": [[0.784, 0.784, 0.648], [0.500, 0.500, 0.500], [0.216, 0.216, 0.352], [0.000, 0.000, 0.000]], "sg": "R-3m (166)", "polymorph_energy_mev_per_atom": 160, "ef_ev_per_fu": -3.09, "crystal_system": "trigonal"}

(7)
{"formula": "AcAs2Pd", "functional": "PBE", "state": "relaxed", "lattice": [[-2.044, -0.647, -3.806], [0.370, -4.542, 0.574], [-4.042, -0.054, 2.180]], "species": ["Pd", "As", "Ac", "As"], "frac_coords": [[0.500, 0.000, 0.000], [0.000, 0.500, 0.000], [0.500, 0.500, 0.500], [0.000, 0.000, 0.500]], "sg": "P4/mmm (123)", "polymorph_energy_mev_per_atom": 376, "ef_ev_per_fu": -2.23, "crystal_system": "tetragonal"}

(8)
{"formula": "AcAs3Pd5", "functional": "PBE", "state": "relaxed", "lattice": [[4.017, 0.000, 0.000], [-2.008, 6.584, 0.000], [0.000, 0.000, 12.998]], "species": ["Pd", "As", "As", "As", "Pd", "As", "Pd", "Pd", "Pd", "Pd", "Pd", "As", "Pd", "Ac", "Pd", "As", "Ac", "Pd"], "frac_coords": [[0.445, 0.891, 0.146], [0.124, 0.247, 0.750], [0.385, 0.770, 0.543], [0.615, 0.230, 0.457], [0.555, 0.109, 0.854], [0.876, 0.753, 0.250], [0.000, 0.000, 0.000], [0.796, 0.591, 0.074], [0.000, 0.000, 0.500], [0.445, 0.891, 0.354], [0.555, 0.109, 0.646], [0.385, 0.770, 0.957], [0.796, 0.591, 0.426], [0.150, 0.300, 0.250], [0.204, 0.409, 0.574], [0.615, 0.230, 0.043], [0.850, 0.700, 0.750], [0.204, 0.409, 0.926]], "sg": "Cmcm (63)", "ef_ev_per_fu": -5.79, "crystal_system": "orthorhombic"}

(9)
{"formula": "Ac2As3Pd2", "functional": "PBE", "state": "relaxed", "lattice": [[4.352, 0.000, -1.038], [0.000, 7.644, 0.000], [0.047, 0.000, 9.842]], "species": ["As", "As", "Ac", "Ac", "Ac", "Pd", "Pd", "Pd", "Pd", "As", "Ac", "As", "As", "As"], "frac_coords": [[0.435, 0.543, 0.869], [0.435, 0.957, 0.869], [0.154, 0.250, 0.307], [0.055, 0.750, 0.111], [0.846, 0.750, 0.693], [0.698, 0.557, 0.395], [0.302, 0.057, 0.605], [0.698, 0.943, 0.395], [0.302, 0.443, 0.605], [0.565, 0.457, 0.131], [0.945, 0.250, 0.889], [0.222, 0.750, 0.444], [0.778, 0.250, 0.556], [0.565, 0.043, 0.131]], "sg": "Cmcm (63)", "polymorph_energy_mev_per_atom": 0, "ef_ev_per_fu": -6.59, "crystal_system": "orthorhombic"}

(10)
{"formula": "Ac2As3Pd2", "functional": "PBE", "state": "relaxed", "lattice": [[-3.714, 0.057, 2.553], [4.897, 0.054, 3.145], [-1.032, 6.733, -1.651]], "species": ["Ac", "Ac", "As", "Pd", "Pd", "As", "As"], "frac_coords": [[0.860, 0.721, 0.215], [0.140, 0.279, 0.785], [0.391, 0.781, 0.553], [0.155, 0.309, 0.283], [0.845, 0.691, 0.717], [0.500, 0.000, 0.000], [0.609, 0.219, 0.447]], "sg": "C2/m (12)", "polymorph_energy_mev_per_atom": 109, "ef_ev_per_fu": -5.82, "crystal_system": "monoclinic"}

(11)
{"formula": "Ac2AsPd", "functional": "PBE", "state": "relaxed", "lattice": [[-1.015, 3.190, 1.958], [-2.295, -2.133, 2.285], [5.751, -1.091, 4.757]], "species": ["As", "Ac", "Ac", "Pd"], "frac_coords": [[0.500, 0.500, 0.500], [0.000, 0.000, 0.747], [0.000, 0.000, 0.253], [0.500, 0.500, 0.000]], "sg": "P4/mmm (123)", "polymorph_energy_mev_per_atom": 117, "ef_ev_per_fu": -3.66, "crystal_system": "tetragonal"}

(12)
{"formula": "Ac2As4Pd5", "functional": "PBE", "state": "relaxed", "lattice": [[5.966, 0.000, 0.000], [2.983, 5.216, 0.000], [2.983, 0.000, 7.464]], "species": ["Pd", "As", "Ac", "As", "Pd", "Pd", "As", "Pd", "As", "Ac", "Pd"], "frac_coords": [[0.500, 0.500, 0.000], [0.217, 0.310, 0.256], [0.858, 0.000, 0.284], [0.473, 0.310, 0.744], [0.750, 0.500, 0.500], [0.250, 0.500, 0.500], [0.783, 0.690, 0.744], [0.000, 0.500, 0.000], [0.527, 0.690, 0.256], [0.142, 0.000, 0.716], [0.500, 0.000, 0.000]], "sg": "Fmmm (69)", "ef_ev_per_fu": -7.91, "crystal_system": "orthorhombic"}